# 1
Below is a relaxed PmGa6 crystal, with properties calculated at the PBE level.

Unit cell a=6.0367 b=6.0367 c=7.6466 alpha=90.00 beta=90.00 gamma=90.00
Atoms (fractional coordinates):
1 Pm 0.2500 0.7500 0.0000
2 Pm 0.7500 0.2500 0.0000
3 Ga 0.0678 0.5678 0.3527
4 Ga 0.0678 0.9322 0.6473
5 Ga 0.2500 0.2500 0.1633
6 Ga 0.2500 0.2500 0.8367
7 Ga 0.4322 0.5678 0.6473
8 Ga 0.4322 0.9322 0.3527
9 Ga 0.5678 0.0678 0.6473
10 Ga 0.5678 0.4322 0.3527
11 Ga 0.7500 0.7500 0.1633
12 Ga 0.7500 0.7500 0.8367
13 Ga 0.9322 0.0678 0.3527
14 Ga 0.9322 0.4322 0.6473

- DOS at the Fermi energy: 2.5 states/eV/f.u.
- Spin magnetization: 0.0 μB per formula unit
- Calculated formation energy: -0.3416 eV per atom
- V: 19.90 Å³ per atom
- E: -3.61 eV per atom

# 2
Below is a relaxed Pm2Ga crystal, with properties calculated at the PBE level.

Unit cell a=7.2069 b=7.2069 c=7.2069 alpha=151.45 beta=151.45 gamma=40.82
Atoms (fractional coordinates):
1 Pm 0.1434 0.1434 0.0000
2 Pm 0.8566 0.8566 0.0000
3 Ga 0.5000 0.5000 0.0000

- DOS at the Fermi energy: 2.9 states/eV/f.u.
- Spin magnetization: 0.0 μB per formula unit
- Calculated formation energy: -0.3355 eV per atom
- V: 28.44 Å³ per atom
- E: -4.51 eV per atom

Question: Look up the spin magnetization of the second one.
Answer: 0.0 μB per formula unit